The following is a PBE with a Hubbard U calculation of crystalline CrTc3F at its relaxed geometry, from Alexandria via LeMat-Bulk.

## Properties
total DFT energy (no corrections): -33.49 eV/cell
density of states at the Fermi level: 9.98 states/eV/f.u.
calculated density: 8.76 g cm⁻³
spin magnetization: 0.001 μB/atom

abc: 4.105 4.105 4.105
angles: 90.00 90.00 90.00
Element x y z (fractional)
Cr 0.000 0.000 0.000
Tc 0.000 0.500 0.500
Tc 0.500 0.000 0.500
Tc 0.500 0.500 0.000
F 0.500 0.500 0.500